Record 1
Nd4Sm4Ho3: optimized geometry, PBE.

abc: 3.6520 9.5231 12.0399
angles: 113.30 98.72 90.00
With the nearest neighbours (Å) after each atom.
Positions (direct):
Nd1 0.6434 0.4674 0.2868  3 Nd 3.35-3.65, 4 Sm 3.40-3.72, 2 Ho 3.67
Nd2 0.3566 0.1806 0.7132  3 Nd 3.35-3.65, 4 Sm 3.40-3.72, 2 Ho 3.67
Nd3 0.3566 0.5326 0.7132  3 Nd 3.35-3.65, 4 Sm 3.40-3.72, 2 Ho 3.67
Nd4 0.6434 0.8194 0.2868  3 Nd 3.35-3.65, 4 Sm 3.40-3.72, 2 Ho 3.67
Sm1 0.7386 0.2386 0.4772  2 Ho 3.41, 6 Nd 3.57-3.72, 2 Sm 3.65
Sm2 0.2614 0.7614 0.5228  2 Ho 3.41, 6 Nd 3.57-3.72, 2 Sm 3.65
Sm3 0.5000 0.8154 0.0000  2 Nd 3.40, 6 Ho 3.44-3.52, 3 Sm 3.52-3.65
Sm4 0.5000 0.1846 0.0000  2 Nd 3.40, 6 Ho 3.44-3.52, 3 Sm 3.52-3.65
Ho1 0.8933 0.8933 0.7867  6 Sm 3.41-3.44, 2 Ho 3.65, 4 Nd 3.67
Ho2 0.1067 0.1067 0.2133  6 Sm 3.41-3.44, 2 Ho 3.65, 4 Nd 3.67
Ho3 0.0000 0.5000 0.0000  4 Sm 3.52, 2 Ho 3.65

space group	Immm, No. 71
ρ	7.325	g/cm3
density of states at the Fermi level	17.57	states/eV/f.u.
total energy	-50.33	eV per cell

=====

Record 2
LiZnAg: optimized geometry, PBE.

abc: 4.4891 4.4891 5.2478
angles: 90.00 90.00 119.93
With the nearest neighbours (Å) after each atom.
Positions (direct):
Ag1 0.6657 0.3343 0.7500  5 Li 2.59-2.62
Ag2 0.3343 0.6657 0.2500  5 Li 2.59-2.62
Li1 0.3324 0.6676 0.7500  5 Ag 2.59-2.62, 2 Zn 2.90
Li2 0.6676 0.3324 0.2500  5 Ag 2.59-2.62, 2 Zn 2.90
Zn1 0.0000 0.0000 0.0000  2 Zn 2.62, 6 Li 2.90-2.91, 6 Ag 2.90-2.91
Zn2 0.0000 0.0000 0.5000  2 Zn 2.62, 6 Li 2.90-2.91, 6 Ag 2.90-2.91

space group	Cmcm, No. 63
ρ	6.531	g/cm3
density of states at the Fermi level	0.99	states/eV/f.u.
total energy	-13.09	eV per cell

=====

Record 3
SiSbRu2: optimized geometry, PBE.

abc: 5.6236 5.6236 6.7976
angles: 65.57 65.57 90.00
With the nearest neighbours (Å) after each atom.
Positions (direct):
Sb1 0.0000 0.0000 0.0000  4 Ru 2.56
Sb2 0.7500 0.2500 0.5000  4 Ru 2.56
Si1 0.5000 0.5000 0.0000  4 Ru 2.29
Si2 0.2500 0.7500 0.5000  4 Ru 2.29
Ru1 0.5844 0.1250 0.2500  2 Si 2.29, 2 Sb 2.56
Ru2 0.1656 0.6250 0.2500  2 Si 2.29, 2 Sb 2.56
Ru3 0.3750 0.4156 0.7500  2 Si 2.29, 2 Sb 2.56
Ru4 0.8750 0.8344 0.7500  2 Si 2.29, 2 Sb 2.56

space group	I-42d, No. 122
ρ	6.705	g/cm3
formation energy without anion corrections	8.08	kcal/mol of atoms
density of states at the Fermi level	3.47	states/eV/f.u.

=====

Record 4
Ca5TbAu6: optimized geometry, PBE.

abc: 5.1273 7.2903 8.1277
angles: 90.00 71.36 90.00
With the nearest neighbours (Å) after each atom.
Positions (direct):
Tb1 0.0000 0.0000 0.0000  8 Au 3.06-3.08
Ca1 0.6663 0.5000 0.6674  8 Au 3.16-3.24
Ca2 0.3305 0.0000 0.3391  8 Au 3.12-3.17
Ca3 0.0000 0.5000 0.0000  8 Au 3.09-3.21
Ca4 0.6695 0.0000 0.6609  8 Au 3.12-3.17
Ca5 0.3337 0.5000 0.3326  8 Au 3.16-3.24
Au1 0.8392 0.7539 0.3216  1 Tb 3.06, 7 Ca 3.09-3.24
Au2 0.8392 0.2461 0.3216  1 Tb 3.06, 7 Ca 3.09-3.24
Au3 0.5000 0.2339 0.0000  2 Tb 3.08, 6 Ca 3.12-3.21, 1 Au 3.41
Au4 0.5000 0.7661 0.0000  2 Tb 3.08, 6 Ca 3.12-3.21, 1 Au 3.41
Au5 0.1608 0.7539 0.6784  1 Tb 3.06, 7 Ca 3.09-3.24
Au6 0.1608 0.2461 0.6784  1 Tb 3.06, 7 Ca 3.09-3.24

space group	P2/m, No. 10
ρ	8.890	g/cm3
density of states at the Fermi level	7.51	states/eV/f.u.
total energy	-43.91	eV per cell

=====

Record 5
SmCu5S4: optimized geometry, PBE.

abc: 3.8654 6.9998 7.4375
angles: 118.07 105.06 90.00
With the nearest neighbours (Å) after each atom.
Positions (direct):
Sm1 0.5000 0.0000 0.0000  6 S 2.77-2.86
Cu1 0.8196 0.0178 0.6393  4 S 2.34-2.45
Cu2 0.8196 0.6214 0.6393  4 S 2.34-2.45
Cu3 0.1804 0.3786 0.3607  4 S 2.34-2.45
Cu4 0.1804 0.9822 0.3607  4 S 2.34-2.45
Cu5 0.5000 0.5000 0.0000  4 S 2.46
S1 0.0000 0.7168 0.0000  4 Cu 2.34-2.46
S2 0.2721 0.7721 0.5442  6 Cu 2.41-2.45
S3 0.7279 0.2279 0.4558  6 Cu 2.41-2.45
S4 0.0000 0.2832 0.0000  4 Cu 2.34-2.46

space group	Immm, No. 71
ρ	5.836	g/cm3
formation energy without anion corrections	-12.59	kcal/mol of atoms
density of states at the Fermi level	0.81	states/eV/f.u.

=====

Record 6
La4PrMg3: optimized geometry, PBE.

abc: 3.9005 3.9005 17.2101
angles: 90.00 90.00 90.00
With the nearest neighbours (Å) after each atom.
Positions (direct):
Pr1 0.5000 0.5000 0.0000  8 La 3.75, 4 Pr 3.90
Mg1 0.5000 0.5000 0.2652  8 La 3.42-3.43
Mg2 0.5000 0.5000 0.5000  8 La 3.41
Mg3 0.5000 0.5000 0.7348  8 La 3.42-3.43
La1 0.0000 0.0000 0.8525  4 Mg 3.42, 4 Pr 3.75
La2 0.0000 0.0000 0.1475  4 Mg 3.42, 4 Pr 3.75
La3 0.0000 0.0000 0.3837  8 Mg 3.41-3.43
La4 0.0000 0.0000 0.6163  8 Mg 3.41-3.43

space group	P4/mmm, No. 123
ρ	4.880	g/cm3
density of states at the Fermi level	9.64	states/eV/f.u.
total energy	-29.88	eV per cell

=====

Record 7
KCdAs2: optimized geometry, PBE.

abc: 5.8912 7.3096 2.8852
angles: 66.75 90.00 121.28
With the nearest neighbours (Å) after each atom.
Positions (direct):
As1 0.0000 0.0000 0.0000  2 As 2.89
As2 0.0000 0.5000 0.5000  2 As 2.89
Cd1 0.5000 0.5000 0.0000  2 Cd 2.89
K1 0.5000 0.0000 0.5000  2 K 2.89

space group	P2/m, No. 10
ρ	5.314	g/cm3
density of states at the Fermi level	0.78	states/eV/f.u.
total energy	-11.00	eV per cell

=====

Record 8
PmHo3Zn4: optimized geometry, PBE.

abc: 5.0418 7.2104 10.0837
angles: 90.00 90.00 90.00
With the nearest neighbours (Å) after each atom.
Positions (direct):
Zn1 0.5000 0.7577 0.0000  6 Ho 3.07-3.13, 2 Pm 3.13
Zn2 0.5000 0.7577 0.5000  6 Ho 3.07-3.13, 2 Pm 3.13
Zn3 0.5000 0.2423 0.0000  6 Ho 3.07-3.13, 2 Pm 3.13
Zn4 0.5000 0.2423 0.5000  6 Ho 3.07-3.13, 2 Pm 3.13
Zn5 0.0005 0.7577 0.7500  6 Ho 3.07-3.13, 2 Pm 3.13
Zn6 0.9995 0.7577 0.2500  6 Ho 3.07-3.13, 2 Pm 3.13
Zn7 0.9995 0.2423 0.2500  6 Ho 3.07-3.13, 2 Pm 3.13
Zn8 0.0005 0.2423 0.7500  6 Ho 3.07-3.13, 2 Pm 3.13
Ho1 0.0000 0.0000 0.0000  8 Zn 3.07
Ho2 0.0000 0.0000 0.5000  8 Zn 3.07
Ho3 0.5004 0.0000 0.7500  8 Zn 3.07
Ho4 0.4996 0.0000 0.2500  8 Zn 3.07
Ho5 0.5003 0.5000 0.7500  8 Zn 3.13
Ho6 0.4997 0.5000 0.2500  8 Zn 3.13
Pm1 0.0000 0.5000 0.0000  8 Zn 3.13
Pm2 0.0000 0.5000 0.5000  8 Zn 3.13

space group	P4/mmm, No. 123
ρ	8.167	g/cm3
density of states at the Fermi level	9.00	states/eV/f.u.
total energy	-52.50	eV per cell